A plane-wave DFT calculation with PBE-GGA was carried out for a geometry-optimized Pr5P4Cl structure.

Summary:
E_form (uncorrected) ... -1599 meV per atom
Total magnetic moment ... 0.00 μB per cell
Crystal system ... tetragonal
SG ... I4/m
Density ... 5.5 g/cm³
E_tot ... -63.37 eV/cell

abc: 7.2755 7.2755 7.2755
angles: 99.51 99.51 132.04
Last column: nearest neighbours and their distance in Å.
Element x y z (fractional)
Pr 0.0000 0.0000 0.0000  4 P 2.95, 2 Cl 2.96
Pr 0.1865 0.3937 0.5802  5 P 2.86-3.02, 1 Cl 3.11
Pr 0.3937 0.8135 0.2072  5 P 2.86-3.02, 1 Cl 3.11
Pr 0.6063 0.1865 0.7928  5 P 2.86-3.02, 1 Cl 3.11
Pr 0.8135 0.6063 0.4198  5 P 2.86-3.02, 1 Cl 3.11
P 0.1017 0.7033 0.8050  6 Pr 2.86-3.02
P 0.2967 0.1017 0.3984  6 Pr 2.86-3.02
P 0.7033 0.8983 0.6016  6 Pr 2.86-3.02
P 0.8983 0.2967 0.1950  6 Pr 2.86-3.02
Cl 0.5000 0.5000 0.0000  6 Pr 2.96-3.11